1.
Below is an optimized crystal structure of Ba6Pd2SeI3, with properties calculated at the PBE-GGA level.

Geometry as POSCAR:
```
Ba6Pd2SeI3
1.0
8.227 0.000 -0.001
-4.111 7.125 -0.001
-1.374 -2.378 8.591
I Ba Se Pd
3 6 1 2
Direct
0.837 0.163 0.500 I
0.500 0.500 0.500 I
0.163 0.837 0.500 I
0.067 0.408 0.204 Ba
0.408 0.067 0.204 Ba
0.273 0.273 0.796 Ba
0.727 0.727 0.204 Ba
0.933 0.592 0.796 Ba
0.592 0.933 0.796 Ba
0.000 0.000 0.000 Se
0.333 0.667 0.000 Pd
0.667 0.333 0.000 Pd
```

Calculated values
energy	-0.2731	Ry/atom
ΔE_f (raw)	-1.210	eV/atom


2.
Below is an optimized crystal structure of LiOsBr2, with properties calculated at the PBE-GGA level.

Geometry as POSCAR:
```
LiOsBr2
1.0
6.368 1.046 -0.884
5.152 3.885 -0.884
0.809 0.346 4.974
Os Li Br
1 1 2
Direct
0.250 0.250 0.250 Os
0.750 0.750 0.750 Li
0.401 0.401 0.517 Br
0.099 0.099 0.983 Br
```

Calculated values
energy relative to the lowest polymorph listed for this composition	0.159	eV per atom
energy	-0.2851	Ry/atom
ΔE_f (raw)	0.244	eV/atom


3.
Below is an optimized crystal structure of SrPaSn2, with properties calculated at the PBE-GGA level.

Geometry as POSCAR:
```
SrPaSn2
1.0
-0.435 2.072 -2.472
-5.444 -2.098 -0.800
-2.103 4.027 3.746
Pa Sn Sr
1 2 1
Direct
0.500 0.000 0.000 Pa
0.000 0.000 0.500 Sn
0.000 0.500 0.000 Sn
0.500 0.500 0.500 Sr
```

Calculated values
energy relative to the lowest polymorph listed for this composition	0.053	eV per atom
calculated formation energy	-0.293	eV per atom
energy	-0.3740	Ry/atom


4.
Below is an optimized crystal structure of Nd2Y5HoTm, with properties calculated at the PBE-GGA level.

Geometry as POSCAR:
```
Nd2Y5HoTm
1.0
-5.853 5.333 3.349
-5.493 -2.088 -6.276
2.828 -7.547 5.925
Tm Y Nd Ho
2 10 4 2
Direct
0.750 0.750 0.500 Tm
0.250 0.250 0.500 Tm
0.500 0.500 0.000 Y
0.853 0.928 0.281 Y
0.647 0.147 0.719 Y
0.000 0.000 0.000 Y
0.072 0.572 0.719 Y
0.928 0.428 0.281 Y
0.353 0.853 0.281 Y
0.572 0.647 0.719 Y
0.147 0.072 0.719 Y
0.428 0.353 0.281 Y
0.882 0.618 0.000 Nd
0.618 0.118 0.000 Nd
0.118 0.382 0.000 Nd
0.382 0.882 0.000 Nd
0.250 0.750 0.500 Ho
0.750 0.250 0.500 Ho
```

Calculated values
calculated formation energy	0.262	eV per atom
energy	-0.3964	Ry/atom


5.
Below is an optimized crystal structure of MnRhSe2, with properties calculated at the PBE-GGA level.

Geometry as POSCAR:
```
MnRhSe2
1.0
-1.274 -0.891 5.242
4.555 -2.964 0.603
4.327 2.487 4.326
Se Mn Rh
4 2 2
Direct
0.875 0.852 0.750 Se
0.148 0.625 0.250 Se
0.602 0.125 0.250 Se
0.375 0.398 0.750 Se
0.250 0.750 0.500 Mn
0.500 0.500 0.000 Mn
0.750 0.250 0.500 Rh
0.000 0.000 0.000 Rh
```

Calculated values
energy relative to the lowest polymorph listed for this composition	0.305	eV per atom
energy	-0.4333	Ry/atom
ΔE_f (raw)	-0.022	eV/atom


6.
Below is an optimized crystal structure of Hf2Al2ZnRh5, with properties calculated at the PBE-GGA level.

Geometry as POSCAR:
```
Hf2Al2ZnRh5
1.0
-1.539 -3.060 -0.249
5.695 -3.421 6.849
-6.351 2.657 6.608
Rh Hf Al Zn
10 4 4 2
Direct
0.500 0.202 0.073 Rh
0.500 0.000 0.500 Rh
0.500 0.427 0.298 Rh
0.500 0.298 0.573 Rh
0.500 0.798 0.927 Rh
0.500 0.702 0.427 Rh
0.500 0.500 0.000 Rh
0.500 0.927 0.202 Rh
0.500 0.073 0.798 Rh
0.500 0.573 0.702 Rh
0.000 0.175 0.325 Hf
0.000 0.325 0.825 Hf
0.000 0.675 0.175 Hf
0.000 0.825 0.675 Hf
0.000 0.875 0.375 Al
0.000 0.625 0.875 Al
0.000 0.125 0.625 Al
0.000 0.375 0.125 Al
0.000 0.000 0.000 Zn
0.000 0.500 0.500 Zn
```

Calculated values
calculated formation energy	-0.745	eV per atom
energy	-0.5356	Ry/atom


7.
Below is an optimized crystal structure of La4TeRu, with properties calculated at the PBE-GGA level.

Geometry as POSCAR:
```
La4TeRu
1.0
0.000 4.432 4.432
4.432 0.000 4.432
4.432 4.432 0.000
La Te Ru
4 1 1
Direct
0.375 0.375 0.874 La
0.375 0.874 0.375 La
0.375 0.375 0.375 La
0.874 0.375 0.375 La
0.000 0.000 0.000 Te
0.750 0.750 0.750 Ru
```

Calculated values
energy relative to the lowest polymorph listed for this composition	0.945	eV per atom
energy	-0.3668	Ry/atom
ΔE_f (raw)	0.363	eV/atom


8.
Below is an optimized crystal structure of PdF2, with properties calculated at the PBE-GGA level.

Geometry as POSCAR:
```
PdF2
1.0
-2.357 4.397 1.989
-3.286 -3.084 2.922
3.535 0.065 4.043
F Pd
8 4
Direct
0.159 0.841 0.341 F
0.341 0.159 0.841 F
0.841 0.341 0.159 F
0.159 0.659 0.841 F
0.659 0.659 0.659 F
0.341 0.341 0.341 F
0.841 0.159 0.659 F
0.659 0.841 0.159 F
0.000 0.000 0.000 Pd
0.500 0.000 0.500 Pd
0.000 0.500 0.500 Pd
0.500 0.500 0.000 Pd
```

Calculated values
energy	-0.2977	Ry/atom
ΔE_f (raw)	-1.072	eV/atom


9.
Below is an optimized crystal structure of SmPu3Bi4, with properties calculated at the PBE-GGA level.

Geometry as POSCAR:
```
SmPu3Bi4
1.0
-0.864 7.331 2.708
-3.507 -5.066 4.896
7.770 -0.825 4.713
Bi Sm Pu
8 2 6
Direct
0.001 0.250 0.624 Bi
0.000 0.747 0.875 Bi
0.000 0.253 0.125 Bi
0.999 0.750 0.376 Bi
0.500 0.253 0.875 Bi
0.500 0.747 0.125 Bi
0.501 0.250 0.376 Bi
0.499 0.750 0.624 Bi
0.750 0.000 0.875 Sm
0.250 0.000 0.125 Sm
0.750 0.000 0.375 Pu
0.250 0.500 0.376 Pu
0.750 0.500 0.125 Pu
0.250 0.000 0.625 Pu
0.750 0.500 0.624 Pu
0.250 0.500 0.875 Pu
```

Calculated values
calculated formation energy	-0.465	eV per atom
energy	-0.6152	Ry/atom


10.
Below is an optimized crystal structure of TlSb2Pt9, with properties calculated at the PBE-GGA level.

Geometry as POSCAR:
```
TlSb2Pt9
1.0
-0.350 -4.074 0.389
3.195 -0.028 2.582
-7.570 1.547 9.384
Pt Sb Tl
9 2 1
Direct
0.000 0.500 0.171 Pt
0.000 0.500 0.500 Pt
0.500 0.000 0.171 Pt
0.500 0.500 0.338 Pt
0.500 0.500 0.000 Pt
0.500 0.000 0.500 Pt
0.500 0.500 0.662 Pt
0.500 0.000 0.829 Pt
0.000 0.500 0.829 Pt
0.000 0.000 0.329 Sb
0.000 0.000 0.671 Sb
0.000 0.000 0.000 Tl
```

Calculated values
energy	-0.4087	Ry/atom
ΔE_f (raw)	-0.146	eV/atom


11.
Below is an optimized crystal structure of AgAs2Rh, with properties calculated at the PBE-GGA level.

Geometry as POSCAR:
```
AgAs2Rh
1.0
-0.730 -2.235 1.816
2.657 0.201 1.313
-3.039 5.325 5.332
Ag As Rh
1 2 1
Direct
0.500 0.500 0.734 Ag
0.500 0.500 0.309 As
0.000 0.000 0.982 As
0.000 0.000 0.475 Rh
```

Calculated values
energy relative to the lowest polymorph listed for this composition	0.071	eV per atom
calculated formation energy	0.013	eV per atom
energy	-0.3574	Ry/atom


12.
Below is an optimized crystal structure of La2Cd3, with properties calculated at the PBE-GGA level.

Geometry as POSCAR:
```
La2Cd3
1.0
6.291 0.003 0.000
-3.060 5.497 0.000
1.616 2.750 8.407
Cd La
6 4
Direct
0.962 0.962 0.000 Cd
0.712 0.212 0.500 Cd
0.569 0.931 0.261 Cd
0.580 0.442 0.239 Cd
0.192 0.830 0.739 Cd
0.681 0.819 0.761 Cd
0.620 0.261 0.895 La
0.011 0.870 0.395 La
0.265 0.406 0.605 La
0.156 0.515 0.105 La
```

Calculated values
energy relative to the lowest polymorph listed for this composition	0.055	eV per atom
calculated formation energy	-0.282	eV per atom
energy	-0.2059	Ry/atom